Record 1
Density functional theory data (PBE) for a relaxed structure of NaReS2.

Cell and atoms, written as POSCAR:
```
NaReS2
1.0
1.6453 0.9499 8.5108
-1.6453 0.9499 8.5108
0.0000 -1.8998 8.5108
Na Re S
1 1 2
Direct
0.0000 0.0000 0.0000 Na
0.5000 0.5000 0.5000 Re
0.1071 0.1071 0.1071 S
0.8929 0.8929 0.8929 S
```

Summary:
Its mass density is 5.7 g cm⁻³. The energy above the most stable polymorph in this dataset is 0.249 eV/atom. As for the crystal system: trigonal. The density of states at the Fermi level is 0.666 states/eV/atom. The energy relative to the elements, uncorrected comes out at -0.222 eV per atom.

***

Record 2
Density functional theory data (PBE) for a relaxed structure of VGeP2.

Cell and atoms, written as POSCAR:
```
VGeP2
1.0
1.7060 0.9850 7.6807
-1.7060 0.9850 7.6807
0.0000 -1.9700 7.6807
V Ge P
1 1 2
Direct
0.0000 0.0000 0.0000 V
0.5000 0.5000 0.5000 Ge
0.1020 0.1020 0.1020 P
0.8980 0.8980 0.8980 P
```

Summary:
The value obtained for the energy of formation from the pure elements is 572 meV/atom. Its mass density is 4.0 g cm⁻³. As for the crystal system: trigonal. The density of states at the Fermi level is 0.877 states/eV/atom.

***

Record 3
Density functional theory data (PBE) for a relaxed structure of MnIn2AsRu.

Cell and atoms, written as POSCAR:
```
MnIn2AsRu
1.0
5.2831 0.0000 0.0000
0.0000 5.2831 0.0000
0.0000 0.0000 4.5474
Mn In As Ru
1 2 1 1
Direct
0.0000 0.0000 0.0000 Mn
0.0000 0.5000 0.5000 In
0.5000 0.0000 0.5000 In
0.5000 0.5000 0.5000 As
0.5000 0.5000 0.0000 Ru
```

Summary:
The value obtained for the energy of formation from the pure elements is 916 meV/atom. Its mass density is 6.0 g cm⁻³. As for the crystal system: tetragonal. The density of states at the Fermi level is 0.794 states/eV/atom.

***

Record 4
Density functional theory data (PBE) for a relaxed structure of BaHoNpO6.

Cell and atoms, written as POSCAR:
```
BaHoNpO6
1.0
5.8506 0.0000 0.0000
-2.9253 5.0668 0.0000
0.0000 0.0000 11.0344
Ba Ho Np O
2 2 2 12
Direct
0.0000 0.0000 0.0000 Ba
0.0000 0.0000 0.5000 Ba
0.3333 0.6667 0.2500 Ho
0.6667 0.3333 0.7500 Ho
0.3333 0.6667 0.7500 Np
0.6667 0.3333 0.2500 Np
0.0285 0.3917 0.6496 O
0.0285 0.6368 0.8504 O
0.3632 0.3917 0.8504 O
0.3632 0.9715 0.6496 O
0.3917 0.0285 0.1496 O
0.3917 0.3632 0.3504 O
0.6083 0.6368 0.6496 O
0.6083 0.9715 0.8504 O
0.6368 0.0285 0.3504 O
0.6368 0.6083 0.1496 O
0.9715 0.3632 0.1496 O
0.9715 0.6083 0.3504 O
```

Summary:
Its mass density is 6.4 g cm⁻³. As for the crystal system: trigonal. The energy relative to the elements, uncorrected comes out at -3.011 eV per atom.

***

Record 5
Density functional theory data (PBE) for a relaxed structure of Be15Nb2Ni2.

Cell and atoms, written as POSCAR:
```
Be15Nb2Ni2
1.0
3.7251 2.1507 3.6265
-3.7251 2.1507 3.6265
0.0000 -4.3014 3.6265
Be Nb Ni
15 2 2
Direct
0.0000 0.0000 0.5000 Be
0.0000 0.2876 0.7124 Be
0.0000 0.5000 0.0000 Be
0.0000 0.7124 0.2876 Be
0.1596 0.6537 0.6537 Be
0.2876 0.0000 0.7124 Be
0.2876 0.7124 0.0000 Be
0.3463 0.3463 0.8404 Be
0.3463 0.8404 0.3463 Be
0.5000 0.0000 0.0000 Be
0.6537 0.1596 0.6537 Be
0.6537 0.6537 0.1596 Be
0.7124 0.0000 0.2876 Be
0.7124 0.2876 0.0000 Be
0.8404 0.3463 0.3463 Be
0.3463 0.3463 0.3463 Nb
0.6537 0.6537 0.6537 Nb
0.1076 0.1076 0.1076 Ni
0.8924 0.8924 0.8924 Ni
```

Summary:
The value obtained for the energy of formation from the pure elements is -270 meV/atom. Its mass density is 4.2 g cm⁻³. As for the crystal system: trigonal. The density of states at the Fermi level is 0.416 states/eV/atom.

***

Record 6
Density functional theory data (PBE) for a relaxed structure of YCoPb.

Cell and atoms, written as POSCAR:
```
YCoPb
1.0
-1.6830 1.6830 5.7181
1.6830 -1.6830 5.7181
1.6830 1.6830 -5.7181
Y Co Pb
1 1 1
Direct
0.0000 0.0000 0.0000 Y
0.6484 0.6484 0.0000 Co
0.2836 0.2836 0.0000 Pb
```

Summary:
The value obtained for the energy of formation from the pure elements is -39 meV/atom. Its mass density is 9.1 g cm⁻³. As for the crystal system: tetragonal. The density of states at the Fermi level is 0.828 states/eV/atom.

***

Q: Which of these has the lowest mass density?
A: VGeP2

***

Q: Look up the mass density of the third one.
A: 6.0 g cm⁻³

***

Q: Which of these has the highest mass density?
A: YCoPb